The following is a DFT calculation (PBE) of an optimized crystal structure of Na2InAsH.

Total magnetic moment (Bohr magnetons per cell): 0.00
Raw total energy (eV/atom): -2.848
V (A^3/atom): 18.9

a = 4.3852 Å, b = 4.3852 Å, c = 4.9137 Å
α = 90.00°, β = 90.00°, γ = 90.00°
Space group P4/mmm (No. 123)
Inequivalent atoms, fractional coordinates:
Na 0.0000 0.5000 0.0000
In 0.0000 0.0000 0.5000
As 0.5000 0.5000 0.5000
H 0.0000 0.0000 0.0000